# HfScPd2S | the Alexandria database | PBE-GGA | relaxed
# uncorrected formation energy	0.77	kcal/mol of atoms
# VASP energy	-6.1262	eV/atom
# density	7.42	Mg/m³
# DOS(E_F)	0.54	states/eV per atom
data_HfScPd2S
_space_group_name_H-M_alt 'P 4/m m m'
_space_group_IT_number 123
_space_group_name_Hall '-P 4 2'
_cell_length_a 4.7455
_cell_length_b 4.7455
_cell_length_c 4.6545
_cell_angle_alpha 90.00
_cell_angle_beta 90.00
_cell_angle_gamma 90.00
loop_
_atom_site_label
_atom_site_fract_x
_atom_site_fract_y
_atom_site_fract_z
Hf1 0.0000 0.0000 0.0000
Sc1 0.5000 0.5000 0.5000
Pd1 0.0000 0.5000 0.5000
S1 0.5000 0.5000 0.0000